A plane-wave DFT calculation with PBE was carried out for Ba2SnPd after structural relaxation.

abc: 3.8904 3.8904 8.9343
angles: 90.00 90.00 90.00
Last column: nearest neighbours and their distance in Å.
Fractional coordinates of all 4 atoms:
1 Ba 0.0000 0.0000 0.2226  4 Pd 3.39, 4 Sn 3.70
2 Ba 0.0000 0.0000 0.7774  4 Pd 3.39, 4 Sn 3.70
3 Sn 0.5000 0.5000 0.5000  8 Ba 3.70, 4 Sn 3.89
4 Pd 0.5000 0.5000 0.0000  8 Ba 3.39

Computed properties:
The total DFT energy (no corrections) is -3.75 eV per atom.

=====

A plane-wave DFT calculation with PBE was carried out for BaSn2Pd6 after structural relaxation.

abc: 8.4891 8.4891 8.4891
angles: 60.00 60.00 60.00
Last column: nearest neighbours and their distance in Å.
Fractional coordinates of all 18 atoms:
1 Ba 0.1250 0.1250 0.1250  6 Pd 3.02
2 Ba 0.8750 0.8750 0.8750  6 Pd 3.02
3 Sn 0.0000 0.5000 0.5000  6 Pd 2.59
4 Sn 0.5000 0.0000 0.5000  6 Pd 2.59
5 Sn 0.5000 0.5000 0.0000  6 Pd 2.59
6 Sn 0.5000 0.5000 0.5000  6 Pd 2.59
7 Pd 0.1264 0.1264 0.6236  2 Sn 2.59
8 Pd 0.1264 0.6236 0.1264  2 Sn 2.59
9 Pd 0.1264 0.6236 0.6236  2 Sn 2.59
10 Pd 0.3764 0.3764 0.8736  2 Sn 2.59
11 Pd 0.3764 0.8736 0.3764  2 Sn 2.59
12 Pd 0.3764 0.8736 0.8736  2 Sn 2.59
13 Pd 0.6236 0.1264 0.1264  2 Sn 2.59
14 Pd 0.6236 0.1264 0.6236  2 Sn 2.59
15 Pd 0.6236 0.6236 0.1264  2 Sn 2.59
16 Pd 0.8736 0.3764 0.3764  2 Sn 2.59
17 Pd 0.8736 0.3764 0.8736  2 Sn 2.59
18 Pd 0.8736 0.8736 0.3764  2 Sn 2.59

Computed properties:
The total DFT energy (no corrections) is -4.71 eV per atom.

=====

A plane-wave DFT calculation with PBE was carried out for Ba3Sn4Pd after structural relaxation.

abc: 6.5028 12.6815 6.6329
angles: 90.00 90.00 90.00
Last column: nearest neighbours and their distance in Å.
Fractional coordinates of all 16 atoms:
1 Ba 0.2500 0.0056 0.1776  1 Pd 3.26, 1 Sn 3.53
2 Ba 0.2500 0.4944 0.1776  1 Pd 3.26, 1 Sn 3.53
3 Ba 0.2500 0.7500 0.5493  2 Pd 3.35, 2 Sn 3.57
4 Ba 0.7500 0.2500 0.4507  2 Pd 3.35, 2 Sn 3.57
5 Ba 0.7500 0.5056 0.8224  1 Pd 3.26, 1 Sn 3.53
6 Ba 0.7500 0.9944 0.8224  1 Pd 3.26, 1 Sn 3.53
7 Sn 0.0041 0.2500 0.9743  1 Pd 2.84, 2 Sn 3.10
8 Sn 0.2500 0.1175 0.6645  1 Pd 2.79, 2 Sn 3.10
9 Sn 0.2500 0.3825 0.6645  1 Pd 2.79, 2 Sn 3.10
10 Sn 0.4959 0.2500 0.9743  1 Pd 2.84, 2 Sn 3.10
11 Sn 0.5041 0.7500 0.0257  1 Pd 2.84, 2 Sn 3.10
12 Sn 0.7500 0.6175 0.3355  1 Pd 2.79, 2 Sn 3.10
13 Sn 0.7500 0.8825 0.3355  1 Pd 2.79, 2 Sn 3.10
14 Sn 0.9959 0.7500 0.0257  1 Pd 2.84, 2 Sn 3.10
15 Pd 0.2500 0.2500 0.3289  4 Sn 2.79-2.84
16 Pd 0.7500 0.7500 0.6711  4 Sn 2.79-2.84

Computed properties:
The total DFT energy (no corrections) is -3.99 eV per atom.

=====

A plane-wave DFT calculation with PBE was carried out for Ba4SnPd2 after structural relaxation.

abc: 6.7745 6.7745 15.0537
angles: 90.00 90.00 90.00
Last column: nearest neighbours and their distance in Å.
Fractional coordinates of all 14 atoms:
1 Ba 0.0000 0.0000 0.2236  1 Pd 2.86
2 Ba 0.0000 0.0000 0.7764  1 Pd 2.86
3 Ba 0.0000 0.5000 0.0000  2 Sn 3.39, 4 Pd 3.63
4 Ba 0.0000 0.5000 0.5000  2 Sn 3.39, 4 Pd 3.63
5 Ba 0.5000 0.0000 0.0000  2 Sn 3.39, 4 Pd 3.63
6 Ba 0.5000 0.0000 0.5000  2 Sn 3.39, 4 Pd 3.63
7 Ba 0.5000 0.5000 0.2764  1 Pd 2.86
8 Ba 0.5000 0.5000 0.7236  1 Pd 2.86
9 Sn 0.0000 0.0000 0.0000  6 Ba 3.37-3.39
10 Sn 0.5000 0.5000 0.5000  6 Ba 3.37-3.39
11 Pd 0.0000 0.0000 0.4138  1 Pd 2.59, 1 Ba 2.86
12 Pd 0.0000 0.0000 0.5862  1 Pd 2.59, 1 Ba 2.86
13 Pd 0.5000 0.5000 0.0862  1 Pd 2.59, 1 Ba 2.86
14 Pd 0.5000 0.5000 0.9138  1 Pd 2.59, 1 Ba 2.86

Computed properties:
The total DFT energy (no corrections) is -3.31 eV per atom.

=====

A plane-wave DFT calculation with PBE was carried out for Ba2Sn3Pd2 after structural relaxation.

abc: 10.6986 10.6986 7.8116
angles: 90.00 90.00 153.55
Last column: nearest neighbours and their distance in Å.
Fractional coordinates of all 14 atoms:
1 Ba 0.0601 0.9399 0.7500  9 Sn 3.45-3.85
2 Ba 0.1621 0.8379 0.2500  6 Pd 3.29-3.50, 6 Sn 3.39-3.48
3 Ba 0.8379 0.1621 0.7500  6 Pd 3.29-3.50, 6 Sn 3.39-3.48
4 Ba 0.9399 0.0601 0.2500  9 Sn 3.45-3.85
5 Sn 0.2257 0.7743 0.7500  6 Pd 2.88-2.94
6 Sn 0.4349 0.5651 0.5662  2 Sn 2.87-2.90, 1 Pd 2.92
7 Sn 0.4349 0.5651 0.9338  2 Sn 2.87-2.90, 1 Pd 2.92
8 Sn 0.5651 0.4349 0.0662  2 Sn 2.87-2.90, 1 Pd 2.92
9 Sn 0.5651 0.4349 0.4338  2 Sn 2.87-2.90, 1 Pd 2.92
10 Sn 0.7743 0.2257 0.2500  6 Pd 2.88-2.94
11 Pd 0.3026 0.6974 0.0565  4 Sn 2.88-2.94, 1 Pd 3.02
12 Pd 0.3026 0.6974 0.4435  4 Sn 2.88-2.94, 1 Pd 3.02
13 Pd 0.6974 0.3026 0.5565  4 Sn 2.88-2.94, 1 Pd 3.02
14 Pd 0.6974 0.3026 0.9435  4 Sn 2.88-2.94, 1 Pd 3.02

Computed properties:
The total DFT energy (no corrections) is -4.31 eV per atom.

=====

A plane-wave DFT calculation with PBE was carried out for BaSn6Pd12 after structural relaxation.

abc: 7.6013 7.6013 7.6013
angles: 105.05 105.05 105.05
Last column: nearest neighbours and their distance in Å.
Fractional coordinates of all 19 atoms:
1 Ba 0.0000 0.0000 0.0000  6 Pd 3.44
2 Sn 0.2674 0.2674 0.6972  7 Pd 2.65-2.75
3 Sn 0.2674 0.6972 0.2674  7 Pd 2.65-2.75
4 Sn 0.3028 0.7326 0.7326  7 Pd 2.65-2.75
5 Sn 0.6972 0.2674 0.2674  7 Pd 2.65-2.75
6 Sn 0.7326 0.3028 0.7326  7 Pd 2.65-2.75
7 Sn 0.7326 0.7326 0.3028  7 Pd 2.65-2.75
8 Pd 0.1172 0.5000 0.8828  4 Sn 2.65-2.68, 3 Pd 2.83-2.91
9 Pd 0.1172 0.8828 0.5000  4 Sn 2.65-2.68, 3 Pd 2.83-2.91
10 Pd 0.1400 0.4063 0.4063  4 Sn 2.73-3.05, 2 Pd 2.91
11 Pd 0.4063 0.1400 0.4063  4 Sn 2.73-3.05, 2 Pd 2.91
12 Pd 0.4063 0.4063 0.1400  4 Sn 2.73-3.05, 2 Pd 2.91
13 Pd 0.5000 0.1172 0.8828  4 Sn 2.65-2.68, 3 Pd 2.83-2.91
14 Pd 0.5000 0.8828 0.1172  4 Sn 2.65-2.68, 3 Pd 2.83-2.91
15 Pd 0.5937 0.5937 0.8600  4 Sn 2.73-3.05, 2 Pd 2.91
16 Pd 0.5937 0.8600 0.5937  4 Sn 2.73-3.05, 2 Pd 2.91
17 Pd 0.8600 0.5937 0.5937  4 Sn 2.73-3.05, 2 Pd 2.91
18 Pd 0.8828 0.1172 0.5000  4 Sn 2.65-2.68, 3 Pd 2.83-2.91
19 Pd 0.8828 0.5000 0.1172  4 Sn 2.65-2.68, 3 Pd 2.83-2.91

Computed properties:
The total DFT energy (no corrections) is -5.11 eV per atom.

=====

A plane-wave DFT calculation with PBE was carried out for Ba4SnPd after structural relaxation.

abc: 9.4026 9.4026 7.7504
angles: 108.35 108.35 110.75
Last column: nearest neighbours and their distance in Å.
Fractional coordinates of all 12 atoms:
1 Ba 0.0575 0.7044 0.9123  2 Pd 3.51-3.52, 2 Sn 3.59-3.65
2 Ba 0.2332 0.3492 0.7186  2 Pd 3.34-3.38, 2 Sn 3.63-3.65
3 Ba 0.2956 0.9425 0.5877  2 Pd 3.51-3.52, 2 Sn 3.59-3.65
4 Ba 0.3492 0.2332 0.2186  2 Pd 3.34-3.38, 2 Sn 3.63-3.65
5 Ba 0.6508 0.7668 0.7814  2 Pd 3.34-3.38, 2 Sn 3.63-3.65
6 Ba 0.7044 0.0575 0.4123  2 Pd 3.51-3.52, 2 Sn 3.59-3.65
7 Ba 0.7668 0.6508 0.2814  2 Pd 3.34-3.38, 2 Sn 3.63-3.65
8 Ba 0.9425 0.2956 0.0877  2 Pd 3.51-3.52, 2 Sn 3.59-3.65
9 Sn 0.3655 0.6345 0.2500  8 Ba 3.59-3.65
10 Sn 0.6345 0.3655 0.7500  8 Ba 3.59-3.65
11 Pd 0.0006 0.9994 0.7500  8 Ba 3.34-3.52
12 Pd 0.9994 0.0006 0.2500  8 Ba 3.34-3.52

Computed properties:
The total DFT energy (no corrections) is -3.25 eV per atom.

=====

A plane-wave DFT calculation with PBE was carried out for Ba3Sn2Pd6 after structural relaxation.

abc: 8.8949 8.8949 8.8949
angles: 109.47 109.47 109.47
Last column: nearest neighbours and their distance in Å.
Fractional coordinates of all 22 atoms:
1 Ba 0.0000 0.3014 0.3014  8 Pd 3.25-3.36
2 Ba 0.0000 0.6986 0.6986  8 Pd 3.25-3.36
3 Ba 0.3014 0.0000 0.3014  8 Pd 3.25-3.36
4 Ba 0.3014 0.3014 0.0000  8 Pd 3.25-3.36
5 Ba 0.6986 0.0000 0.6986  8 Pd 3.25-3.36
6 Ba 0.6986 0.6986 0.0000  8 Pd 3.25-3.36
7 Sn 0.0000 0.0000 0.5000  6 Pd 2.79
8 Sn 0.0000 0.5000 0.0000  6 Pd 2.79
9 Sn 0.5000 0.0000 0.0000  6 Pd 2.79
10 Sn 0.5000 0.5000 0.5000  6 Pd 2.79
11 Pd 0.0000 0.3260 0.6740  2 Sn 2.79, 4 Pd 2.97
12 Pd 0.0000 0.6740 0.3260  2 Sn 2.79, 4 Pd 2.97
13 Pd 0.3260 0.0000 0.6740  2 Sn 2.79, 4 Pd 2.97
14 Pd 0.3260 0.3260 0.6520  2 Sn 2.79, 4 Pd 2.97
15 Pd 0.3260 0.6520 0.3260  2 Sn 2.79, 4 Pd 2.97
16 Pd 0.3260 0.6740 0.0000  2 Sn 2.79, 4 Pd 2.97
17 Pd 0.3480 0.6740 0.6740  2 Sn 2.79, 4 Pd 2.97
18 Pd 0.6520 0.3260 0.3260  2 Sn 2.79, 4 Pd 2.97
19 Pd 0.6740 0.0000 0.3260  2 Sn 2.79, 4 Pd 2.97
20 Pd 0.6740 0.3260 0.0000  2 Sn 2.79, 4 Pd 2.97
21 Pd 0.6740 0.3480 0.6740  2 Sn 2.79, 4 Pd 2.97
22 Pd 0.6740 0.6740 0.3480  2 Sn 2.79, 4 Pd 2.97

Computed properties:
The total DFT energy (no corrections) is -4.65 eV per atom.

=====

A plane-wave DFT calculation with PBE was carried out for BaSn2Pd2 after structural relaxation.

abc: 8.4215 8.4215 3.3846
angles: 90.00 90.00 90.00
Last column: nearest neighbours and their distance in Å.
Fractional coordinates of all 10 atoms:
1 Ba 0.0000 0.0000 0.0000  4 Pd 3.33, 2 Ba 3.38, 8 Sn 3.63
2 Ba 0.5000 0.5000 0.0000  4 Pd 3.33, 2 Ba 3.38, 8 Sn 3.63
3 Sn 0.1484 0.3516 0.5000  6 Pd 2.86-3.19
4 Sn 0.3516 0.8516 0.5000  6 Pd 2.86-3.19
5 Sn 0.6484 0.1484 0.5000  6 Pd 2.86-3.19
6 Sn 0.8516 0.6484 0.5000  6 Pd 2.86-3.19
7 Pd 0.1243 0.6243 0.0000  6 Sn 2.86-3.19, 1 Pd 2.96
8 Pd 0.3757 0.1243 0.0000  6 Sn 2.86-3.19, 1 Pd 2.96
9 Pd 0.6243 0.8757 0.0000  6 Sn 2.86-3.19, 1 Pd 2.96
10 Pd 0.8757 0.3757 0.0000  6 Sn 2.86-3.19, 1 Pd 2.96

Computed properties:
The total DFT energy (no corrections) is -4.49 eV per atom.

=====

A plane-wave DFT calculation with PBE was carried out for BaSnPd2 after structural relaxation.

abc: 5.3246 5.3246 17.8047
angles: 90.00 90.00 90.00
Last column: nearest neighbours and their distance in Å.
Fractional coordinates of all 16 atoms:
1 Ba 0.0000 0.0000 0.0000  8 Pd 3.64-3.79, 4 Sn 3.77
2 Ba 0.0000 0.5000 0.2500  8 Pd 3.64-3.79, 4 Sn 3.77
3 Ba 0.5000 0.0000 0.7500  8 Pd 3.64-3.79, 4 Sn 3.77
4 Ba 0.5000 0.5000 0.5000  8 Pd 3.64-3.79, 4 Sn 3.77
5 Sn 0.0000 0.0000 0.5000  4 Pd 2.60
6 Sn 0.0000 0.5000 0.7500  4 Pd 2.60
7 Sn 0.5000 0.0000 0.2500  4 Pd 2.60
8 Sn 0.5000 0.5000 0.0000  4 Pd 2.60
9 Pd 0.0202 0.7500 0.6250  2 Sn 2.60, 2 Pd 2.67
10 Pd 0.2500 0.0202 0.3750  2 Sn 2.60, 2 Pd 2.67
11 Pd 0.2500 0.4798 0.8750  2 Sn 2.60, 2 Pd 2.67
12 Pd 0.4798 0.7500 0.1250  2 Sn 2.60, 2 Pd 2.67
13 Pd 0.5202 0.2500 0.1250  2 Sn 2.60, 2 Pd 2.67
14 Pd 0.7500 0.5202 0.8750  2 Sn 2.60, 2 Pd 2.67
15 Pd 0.7500 0.9798 0.3750  2 Sn 2.60, 2 Pd 2.67
16 Pd 0.9798 0.2500 0.6250  2 Sn 2.60, 2 Pd 2.67

Computed properties:
The total DFT energy (no corrections) is -4.52 eV per atom.